A plane-wave DFT calculation with PBE was carried out for a relaxed Pu2Ge2Ru2C crystal.

Unit cell a=11.160 b=4.124 c=6.968 alpha=90.00 beta=128.00 gamma=90.00
Space group C2/m (No. 12)
One atom of each set of equivalent atoms:
Pu (0.059, 0.000, 0.288)
Ge (0.158, 0.500, 0.694)
Ru (0.199, 0.500, 0.090)
C (0.000, 0.500, 0.000)

Results
D(E_F): 40.81 states/eV per cell
V: 18.1 A^3/atom
mass density: 11.136 g/cm³
formation energy from the elements: -0.39 eV per atom


A plane-wave DFT calculation with PBE was carried out for a relaxed PuTc2Ge2C crystal.

Unit cell a=4.172 b=4.172 c=5.457 alpha=90.00 beta=90.00 gamma=90.00
Space group P4/mmm (No. 123)
One atom of each set of equivalent atoms:
Pu (0.000, 0.000, 0.000)
Tc (0.000, 0.500, 0.500)
Ge (0.500, 0.500, 0.221)
C (0.000, 0.000, 0.500)

Results
D(E_F): 11.31 states/eV per cell
V: 15.8 A^3/atom
mass density: 10.440 g/cm³
formation energy from the elements: -0.27 eV per atom


A plane-wave DFT calculation with PBE was carried out for a relaxed Rb3GeC crystal.

Unit cell a=5.903 b=5.903 c=5.903 alpha=90.00 beta=90.00 gamma=90.00
Space group Pm-3m (No. 221)
One atom of each set of equivalent atoms:
Rb (0.000, 0.000, 0.500)
Ge (0.500, 0.500, 0.500)
C (0.000, 0.000, 0.000)

Results
D(E_F): 19.78 states/eV per cell
V: 41.1 A^3/atom
mass density: 2.754 g/cm³
distance to the lowest polymorph of the same formula: 0 meV/atom
formation energy from the elements: 1.31 eV per atom


A plane-wave DFT calculation with PBE was carried out for a relaxed RbGeC3 crystal.

Unit cell a=4.198 b=4.198 c=4.198 alpha=90.00 beta=90.00 gamma=90.00
Space group Pm-3m (No. 221)
One atom of each set of equivalent atoms:
Rb (0.000, 0.000, 0.000)
Ge (0.500, 0.500, 0.500)
C (0.000, 0.500, 0.500)

Results
D(E_F): 4.95 states/eV per cell
V: 14.8 A^3/atom
mass density: 4.358 g/cm³
distance to the lowest polymorph of the same formula: 0 meV/atom
formation energy from the elements: 2.55 eV per atom


A plane-wave DFT calculation with PBE was carried out for a relaxed RbGeC3 crystal.

Unit cell a=4.580 b=4.580 c=4.580 alpha=90.00 beta=90.00 gamma=90.00
Space group Pm-3m (No. 221)
One atom of each set of equivalent atoms:
Rb (0.000, 0.000, 0.000)
Ge (0.500, 0.500, 0.500)
C (0.000, 0.000, 0.500)

Results
D(E_F): 5.35 states/eV per cell
V: 19.2 A^3/atom
mass density: 3.356 g/cm³
distance to the lowest polymorph of the same formula: 1747 meV/atom
formation energy from the elements: 4.30 eV per atom


A plane-wave DFT calculation with PBE was carried out for a relaxed RbGeRhC2 crystal.

Unit cell a=4.072 b=4.072 c=6.272 alpha=90.00 beta=90.00 gamma=90.00
Space group P4/mmm (No. 123)
One atom of each set of equivalent atoms:
Rb (0.000, 0.000, 0.000)
Ge (0.500, 0.500, 0.000)
Rh (0.000, 0.000, 0.500)
C (0.000, 0.500, 0.500)

Results
D(E_F): 4.67 states/eV per cell
V: 20.8 A^3/atom
mass density: 4.552 g/cm³
formation energy from the elements: 1.98 eV per atom


A plane-wave DFT calculation with PBE was carried out for a relaxed RbGeC2S crystal.

Unit cell a=4.244 b=4.244 c=4.960 alpha=90.00 beta=90.00 gamma=90.00
Space group P4/mmm (No. 123)
One atom of each set of equivalent atoms:
Rb (0.000, 0.000, 0.000)
Ge (0.500, 0.500, 0.000)
C (0.000, 0.500, 0.500)
S (0.500, 0.500, 0.500)

Results
E_form (uncorrected): 2.2020 eV per atom
D(E_F): 2.77 states/eV per cell
V: 17.9 A^3/atom
mass density: 3.980 g/cm³


A plane-wave DFT calculation with PBE was carried out for a relaxed RbScGe2C crystal.

Unit cell a=4.929 b=4.929 c=4.476 alpha=90.00 beta=90.00 gamma=90.00
Space group P4/mmm (No. 123)
One atom of each set of equivalent atoms:
Rb (0.000, 0.000, 0.000)
Sc (0.500, 0.500, 0.000)
Ge (0.000, 0.500, 0.500)
C (0.500, 0.500, 0.500)

Results
D(E_F): 3.29 states/eV per cell
V: 21.7 A^3/atom
mass density: 4.394 g/cm³
formation energy from the elements: 0.65 eV per atom


A plane-wave DFT calculation with PBE was carried out for a relaxed RbSi2GeC crystal.

Unit cell a=5.720 b=5.720 c=5.808 alpha=90.00 beta=90.00 gamma=90.00
Space group P4/mmm (No. 123)
One atom of each set of equivalent atoms:
Rb (0.000, 0.000, 0.000)
Si (0.000, 0.500, 0.000)
Ge (0.000, 0.000, 0.500)
C (0.500, 0.500, 0.500)

Results
E_form (uncorrected): 3.3562 eV per atom
D(E_F): 5.19 states/eV per cell
V: 38.0 A^3/atom
mass density: 1.978 g/cm³


A plane-wave DFT calculation with PBE was carried out for a relaxed Rb2SrGeC crystal.

Unit cell a=7.753 b=7.753 c=5.526 alpha=90.00 beta=90.00 gamma=90.00
Space group P4/mmm (No. 123)
One atom of each set of equivalent atoms:
Rb (0.000, 0.500, 0.000)
Sr (0.000, 0.000, 0.000)
Ge (0.000, 0.000, 0.500)
C (0.500, 0.500, 0.500)

Results
D(E_F): 4.10 states/eV per cell
V: 66.4 A^3/atom
mass density: 1.716 g/cm³
formation energy from the elements: 1.65 eV per atom


A plane-wave DFT calculation with PBE was carried out for a relaxed ReGe2C crystal.

Unit cell a=5.702 b=5.702 c=7.689 alpha=90.00 beta=90.00 gamma=90.00
Space group I-42d (No. 122)
One atom of each set of equivalent atoms:
Re (0.000, 0.000, 0.000)
Ge (0.174, 0.750, 0.625)
C (0.000, 0.000, 0.500)

Results
D(E_F): 10.87 states/eV per cell
V: 15.6 A^3/atom
mass density: 9.126 g/cm³
formation energy from the elements: 1.12 eV per atom


A plane-wave DFT calculation with PBE was carried out for a relaxed ReGe3C crystal.

Unit cell a=4.812 b=4.812 c=4.812 alpha=90.00 beta=90.00 gamma=90.00
Space group Pm-3m (No. 221)
One atom of each set of equivalent atoms:
Re (0.000, 0.000, 0.000)
Ge (0.000, 0.000, 0.500)
C (0.500, 0.500, 0.500)

Results
D(E_F): 0.56 states/eV per cell
V: 22.3 A^3/atom
mass density: 6.203 g/cm³
distance to the lowest polymorph of the same formula: 114 meV/atom
formation energy from the elements: 1.47 eV per atom


A plane-wave DFT calculation with PBE was carried out for a relaxed ReGe3C crystal.

Unit cell a=4.198 b=4.198 c=4.198 alpha=90.00 beta=90.00 gamma=90.00
Space group Pm-3m (No. 221)
One atom of each set of equivalent atoms:
Re (0.000, 0.000, 0.000)
Ge (0.000, 0.500, 0.500)
C (0.500, 0.500, 0.500)

Results
D(E_F): 4.64 states/eV per cell
V: 14.8 A^3/atom
mass density: 9.343 g/cm³
distance to the lowest polymorph of the same formula: 0 meV/atom
formation energy from the elements: 1.35 eV per atom


A plane-wave DFT calculation with PBE was carried out for a relaxed ReGeC2 crystal.

Unit cell a=4.763 b=4.763 c=9.014 alpha=90.00 beta=90.00 gamma=90.00
Space group I-42d (No. 122)
One atom of each set of equivalent atoms:
Re (0.000, 0.000, 0.000)
Ge (0.000, 0.000, 0.500)
C (0.245, 0.250, 0.125)

Results
D(E_F): 8.53 states/eV per cell
V: 12.8 A^3/atom
mass density: 9.187 g/cm³
formation energy from the elements: 0.87 eV per atom


A plane-wave DFT calculation with PBE was carried out for a relaxed Re2GeC crystal.

Unit cell a=4.641 b=4.641 c=12.136 alpha=90.00 beta=90.00 gamma=90.00
Space group I-42d (No. 122)
One atom of each set of equivalent atoms:
Re (0.144, 0.250, 0.125)
Ge (0.000, 0.000, 0.500)
C (0.000, 0.000, 0.000)

Results
D(E_F): 3.80 states/eV per cell
V: 16.3 A^3/atom
mass density: 11.614 g/cm³
distance to the lowest polymorph of the same formula: 0 meV/atom
formation energy from the elements: 0.94 eV per atom


A plane-wave DFT calculation with PBE was carried out for a relaxed Re2GeC crystal.

Unit cell a=5.856 b=5.856 c=5.856 alpha=90.00 beta=90.00 gamma=90.00
Space group Fm-3m (No. 225)
One atom of each set of equivalent atoms:
Re (0.250, 0.250, 0.250)
Ge (0.000, 0.000, 0.000)
C (0.000, 0.000, 0.500)

Results
D(E_F): 9.57 states/eV per cell
V: 12.6 A^3/atom
mass density: 15.118 g/cm³
distance to the lowest polymorph of the same formula: 195 meV/atom
formation energy from the elements: 1.13 eV per atom


A plane-wave DFT calculation with PBE was carried out for a relaxed SrRe2GeC crystal.

Unit cell a=4.109 b=4.109 c=5.235 alpha=90.00 beta=90.00 gamma=90.00
Space group P4/mmm (No. 123)
One atom of each set of equivalent atoms:
Sr (0.000, 0.000, 0.000)
Re (0.000, 0.500, 0.500)
Ge (0.500, 0.500, 0.000)
C (0.000, 0.000, 0.500)

Results
D(E_F): 3.85 states/eV per cell
V: 17.7 A^3/atom
mass density: 10.231 g/cm³
formation energy from the elements: 0.60 eV per atom


A plane-wave DFT calculation with PBE was carried out for a relaxed Ge3RhC crystal.

Unit cell a=4.726 b=4.726 c=4.726 alpha=90.00 beta=90.00 gamma=90.00
Space group Pm-3m (No. 221)
One atom of each set of equivalent atoms:
Ge (0.000, 0.000, 0.500)
Rh (0.000, 0.000, 0.000)
C (0.500, 0.500, 0.500)

Results
D(E_F): 2.09 states/eV per cell
V: 21.1 A^3/atom
mass density: 5.235 g/cm³
distance to the lowest polymorph of the same formula: 496 meV/atom
formation energy from the elements: 1.35 eV per atom


A plane-wave DFT calculation with PBE was carried out for a relaxed GeRhC2 crystal.

Unit cell a=4.719 b=4.719 c=8.938 alpha=90.00 beta=90.00 gamma=90.00
Space group I-42d (No. 122)
One atom of each set of equivalent atoms:
Ge (0.000, 0.000, 0.000)
Rh (0.000, 0.000, 0.500)
C (0.247, 0.250, 0.125)

Results
D(E_F): 9.72 states/eV per cell
V: 12.4 A^3/atom
mass density: 6.660 g/cm³
formation energy from the elements: 0.82 eV per atom


A plane-wave DFT calculation with PBE was carried out for a relaxed Ge3RhC crystal.

Unit cell a=4.231 b=4.231 c=4.231 alpha=90.00 beta=90.00 gamma=90.00
Space group Pm-3m (No. 221)
One atom of each set of equivalent atoms:
Ge (0.000, 0.000, 0.500)
Rh (0.500, 0.500, 0.500)
C (0.000, 0.000, 0.000)

Results
D(E_F): 3.48 states/eV per cell
V: 15.1 A^3/atom
mass density: 7.297 g/cm³
distance to the lowest polymorph of the same formula: 0 meV/atom
formation energy from the elements: 0.85 eV per atom


A plane-wave DFT calculation with PBE was carried out for a relaxed Ge2RhC crystal.

Unit cell a=5.485 b=5.485 c=8.265 alpha=90.00 beta=90.00 gamma=90.00
Space group I-42d (No. 122)
One atom of each set of equivalent atoms:
Ge (0.187, 0.250, 0.125)
Rh (0.000, 0.000, 0.500)
C (0.000, 0.000, 0.000)

Results
D(E_F): 8.43 states/eV per cell
V: 15.5 A^3/atom
mass density: 6.951 g/cm³
formation energy from the elements: 0.39 eV per atom


A plane-wave DFT calculation with PBE was carried out for a relaxed Zr2GeRhC crystal.

Unit cell a=4.993 b=4.993 c=4.398 alpha=90.00 beta=90.00 gamma=90.00
Space group P4/mmm (No. 123)
One atom of each set of equivalent atoms:
Zr (0.000, 0.500, 0.000)
Ge (0.000, 0.000, 0.000)
Rh (0.000, 0.000, 0.500)
C (0.500, 0.500, 0.500)

Results
D(E_F): 4.18 states/eV per cell
V: 21.9 A^3/atom
mass density: 5.603 g/cm³
formation energy from the elements: 1.40 eV per atom


A plane-wave DFT calculation with PBE was carried out for a relaxed ZrGe2RhC crystal.

Unit cell a=4.993 b=4.993 c=3.727 alpha=90.00 beta=90.00 gamma=90.00
Space group P4/mmm (No. 123)
One atom of each set of equivalent atoms:
Zr (0.000, 0.000, 0.000)
Ge (0.000, 0.500, 0.500)
Rh (0.500, 0.500, 0.500)
C (0.500, 0.500, 0.000)

Results
D(E_F): 4.10 states/eV per cell
V: 18.6 A^3/atom
mass density: 6.280 g/cm³
formation energy from the elements: 0.68 eV per atom


A plane-wave DFT calculation with PBE was carried out for a relaxed GeRuC3 crystal.

Unit cell a=4.061 b=4.061 c=4.061 alpha=90.00 beta=90.00 gamma=90.00
Space group Pm-3m (No. 221)
One atom of each set of equivalent atoms:
Ge (0.000, 0.000, 0.000)
Ru (0.500, 0.500, 0.500)
C (0.000, 0.500, 0.500)

Results
D(E_F): 2.51 states/eV per cell
V: 13.4 A^3/atom
mass density: 5.200 g/cm³
distance to the lowest polymorph of the same formula: 0 meV/atom
formation energy from the elements: 2.13 eV per atom


A plane-wave DFT calculation with PBE was carried out for a relaxed GeRuC3 crystal.

Unit cell a=3.858 b=3.858 c=3.858 alpha=90.00 beta=90.00 gamma=90.00
Space group Pm-3m (No. 221)
One atom of each set of equivalent atoms:
Ge (0.000, 0.000, 0.000)
Ru (0.500, 0.500, 0.500)
C (0.000, 0.000, 0.500)

Results
D(E_F): 4.33 states/eV per cell
V: 11.5 A^3/atom
mass density: 6.063 g/cm³
distance to the lowest polymorph of the same formula: 690 meV/atom
formation energy from the elements: 2.82 eV per atom


A plane-wave DFT calculation with PBE was carried out for a relaxed GeSb2RuC crystal.

Unit cell a=5.020 b=5.020 c=3.881 alpha=90.00 beta=90.00 gamma=90.00
Space group P4/mmm (No. 123)
One atom of each set of equivalent atoms:
Ge (0.000, 0.000, 0.000)
Sb (0.000, 0.500, 0.500)
Ru (0.500, 0.500, 0.000)
C (0.500, 0.500, 0.500)

Results
E_form (uncorrected): 0.7925 eV per atom
D(E_F): 3.88 states/eV per cell
V: 19.6 A^3/atom
mass density: 7.288 g/cm³


A plane-wave DFT calculation with PBE was carried out for a relaxed Sc2GeRuC crystal.

Unit cell a=4.528 b=4.528 c=3.915 alpha=90.00 beta=90.00 gamma=90.00
Space group P4/mmm (No. 123)
One atom of each set of equivalent atoms:
Sc (0.000, 0.500, 0.000)
Ge (0.000, 0.000, 0.500)
Ru (0.500, 0.500, 0.500)
C (0.500, 0.500, 0.000)

Results
D(E_F): 2.70 states/eV per cell
V: 16.1 A^3/atom
mass density: 5.703 g/cm³
formation energy from the elements: -0.52 eV per atom


A plane-wave DFT calculation with PBE was carried out for a relaxed SmGeRu2C crystal.

Unit cell a=3.956 b=11.172 c=7.340 alpha=90.00 beta=90.00 gamma=90.00
Space group Cmcm (No. 63)
One atom of each set of equivalent atoms:
Sm (0.000, 0.048, 0.250)
Ge (0.000, 0.231, 0.750)
Ru (0.000, 0.338, 0.058)
C (0.000, 0.500, 0.000)

Results
D(E_F): 15.27 states/eV per cell
V: 16.2 A^3/atom
mass density: 8.951 g/cm³
formation energy from the elements: -0.48 eV per atom